(1)
A plane-wave DFT calculation with PBE-GGA was carried out for a relaxed AlFe2Re crystal.

Results
Total energy (eV per atom): -8.377
Symmetry: Imm2, No. 44
DOS(E_F) (states/eV/cell): 3.22

Lattice parameters (Å, degrees): 4.8661 4.8661 4.8661 145.07 129.29 63.06
Fractional positions:
Al (0.0000, 0.0000, 0.0000)
Fe (0.5114, 0.5114, 0.0000)
Fe (0.7507, 0.2507, 0.5000)
Re (0.2648, 0.7648, 0.5000)

(2)
A plane-wave DFT calculation with PBE-GGA was carried out for a relaxed AlFeRe crystal.

Results
Total energy (eV per atom): -7.962
Symmetry: Pmma, No. 51
DOS(E_F) (states/eV/cell): 4.67

Lattice parameters (Å, degrees): 5.5819 2.6497 6.1421 90.00 90.00 90.00
Fractional positions:
Al (0.0000, 0.0000, 0.0000)
Al (0.5000, 0.0000, 0.0000)
Fe (0.2500, 0.5000, 0.2406)
Fe (0.7500, 0.5000, 0.7594)
Re (0.0000, 0.0000, 0.5000)
Re (0.5000, 0.0000, 0.5000)

Short version: energy relative to the elements = -98, 256 meV/atom, in the order given.